! Ba3FeTe2O8 (PBE+U, relaxed); values from VASP
! - DOS(E_F) (states/eV per atom) = 0.367
! - magnetic moment (μB/atom) = 0.29
! - total energy (hartree per atom) = -0.2099
&SYSTEM
  ibrav = 0, nat = 14, ntyp = 4
/
ATOMIC_SPECIES
Ba 137.33 Ba.upf
Fe 55.84 Fe.upf
Te 127.60 Te.upf
O 16.00 O.upf
ATOMIC_POSITIONS crystal
Ba 0.000 0.000 0.000
Ba 0.333 0.667 0.634
Ba 0.667 0.333 0.366
Fe 0.000 0.000 0.500
Te 0.333 0.667 0.203
Te 0.667 0.333 0.797
O 0.164 0.327 0.333
O 0.164 0.836 0.333
O 0.327 0.164 0.667
O 0.333 0.667 0.945
O 0.667 0.333 0.055
O 0.673 0.836 0.333
O 0.836 0.164 0.667
O 0.836 0.673 0.667
CELL_PARAMETERS angstrom
5.973 0.000 0.000
-2.987 5.173 0.000
0.000 0.000 8.025

***

! Ba2FeTeO6 (PBE+U, relaxed); values from VASP
! - magnetic moment (μB/atom) = 0.40
! - total energy (hartree per atom) = -0.2283
&SYSTEM
  ibrav = 0, nat = 20, ntyp = 4
/
ATOMIC_SPECIES
Ba 137.33 Ba.upf
Fe 55.84 Fe.upf
Te 127.60 Te.upf
O 16.00 O.upf
ATOMIC_POSITIONS crystal
Ba 0.128 0.128 0.128
Ba 0.282 0.282 0.282
Ba 0.718 0.718 0.718
Ba 0.872 0.872 0.872
Fe 0.404 0.404 0.404
Fe 0.596 0.596 0.596
Te 0.000 0.000 0.000
Te 0.500 0.500 0.500
O 0.154 0.613 0.613
O 0.193 0.193 0.732
O 0.193 0.732 0.193
O 0.268 0.807 0.807
O 0.387 0.387 0.846
O 0.387 0.846 0.387
O 0.613 0.154 0.613
O 0.613 0.613 0.154
O 0.732 0.193 0.193
O 0.807 0.268 0.807
O 0.807 0.807 0.268
O 0.846 0.387 0.387
CELL_PARAMETERS angstrom
2.979 1.720 9.662
-2.979 1.720 9.662
0.000 -3.440 9.662

***

! Ba3Fe2TeO9 (PBE+U, relaxed); values from VASP
! - DOS(E_F) (states/eV per atom) = 0.000
! - magnetic moment (μB/atom) = 0.67
! - total energy (hartree per atom) = -0.2323
&SYSTEM
  ibrav = 0, nat = 30, ntyp = 4
/
ATOMIC_SPECIES
Ba 137.33 Ba.upf
Fe 55.84 Fe.upf
Te 127.60 Te.upf
O 16.00 O.upf
ATOMIC_POSITIONS crystal
Ba 0.000 0.000 0.000
Ba 0.000 0.000 0.500
Ba 0.333 0.667 0.152
Ba 0.333 0.667 0.833
Ba 0.667 0.333 0.333
Ba 0.667 0.333 0.652
Fe 0.000 0.000 0.238
Fe 0.000 0.000 0.738
Fe 0.333 0.667 0.602
Fe 0.667 0.333 0.102
Te 0.333 0.667 0.405
Te 0.667 0.333 0.905
O 0.032 0.516 0.491
O 0.165 0.329 0.667
O 0.165 0.835 0.667
O 0.173 0.345 0.331
O 0.173 0.827 0.331
O 0.329 0.165 0.167
O 0.345 0.173 0.831
O 0.484 0.516 0.491
O 0.484 0.968 0.491
O 0.516 0.032 0.991
O 0.516 0.484 0.991
O 0.655 0.827 0.331
O 0.671 0.835 0.667
O 0.827 0.173 0.831
O 0.827 0.655 0.831
O 0.835 0.165 0.167
O 0.835 0.671 0.167
O 0.968 0.484 0.991
CELL_PARAMETERS angstrom
5.861 0.000 0.000
-2.930 5.076 0.000
0.000 0.000 14.444

***

! Ba4ThFe3O12 (PBE+U, relaxed); values from VASP
! - DOS(E_F) (states/eV per atom) = 0.739
! - magnetic moment (μB/atom) = 0.64
! - total energy (hartree per atom) = -0.2481
&SYSTEM
  ibrav = 0, nat = 20, ntyp = 4
/
ATOMIC_SPECIES
Ba 137.33 Ba.upf
Th 232.04 Th.upf
Fe 55.84 Fe.upf
O 16.00 O.upf
ATOMIC_POSITIONS crystal
Ba 0.000 0.000 0.500
Ba 0.000 0.500 0.000
Ba 0.500 0.000 0.000
Ba 0.500 0.500 0.500
Th 0.000 0.000 0.000
Fe 0.000 0.500 0.500
Fe 0.500 0.000 0.500
Fe 0.500 0.500 0.000
O 0.000 0.268 0.268
O 0.000 0.732 0.732
O 0.250 0.500 0.750
O 0.250 0.750 0.500
O 0.268 0.000 0.268
O 0.268 0.268 0.000
O 0.500 0.250 0.750
O 0.500 0.750 0.250
O 0.732 0.000 0.732
O 0.732 0.732 0.000
O 0.750 0.250 0.500
O 0.750 0.500 0.250
CELL_PARAMETERS angstrom
-4.164 4.164 4.164
4.164 -4.164 4.164
4.164 4.164 -4.164

***

- Which of these has the lowest magnetic moment?
  Ba3FeTe2O8

***

- Number 2 is which compound?
  Ba2FeTeO6

***

- The lowest total energy belongs to which entry?
  Ba4ThFe3O12